First-principles (PBE-GGA) data for a relaxed Y2BeAu crystal, as listed in Alexandria via LeMat-Bulk.

abc: 5.784 5.784 5.784
angles: 137.47 137.47 61.72
Positions (direct):
Y1 0.000 0.000 0.000
Y2 0.750 0.250 0.500
Be1 0.500 0.500 0.000
Au1 0.250 0.750 0.500

Computed properties:
The value obtained for the calculated total energy is -5.12 eV/atom. The calculation puts the magnetization at 0.0000 μB/atom. The calculation puts the density at 7.293 g/cm3. The calculation puts the calculated formation energy at -0.530 eV/f.u. For the density of states at the Fermi level, the calculation gives 1.14 states/eV per atom.

***

First-principles (PBE-GGA) data for a relaxed LiPr6Zn crystal, as listed in Alexandria via LeMat-Bulk.

abc: 9.774 9.774 9.774
angles: 148.72 148.72 44.82
Positions (direct):
Li1 0.000 0.000 0.000
Pr1 0.106 0.606 0.500
Pr2 0.249 0.249 0.000
Pr3 0.394 0.894 0.500
Pr4 0.606 0.106 0.500
Pr5 0.751 0.751 0.000
Pr6 0.894 0.394 0.500
Zn1 0.500 0.500 0.000

Computed properties:
The value obtained for the calculated total energy is -4.03 eV/atom. The calculation puts the magnetization at 0.0000 μB/atom. The calculation puts the density at 6.073 g/cm3. The calculation puts the calculated formation energy at -0.395 eV/f.u. For the density of states at the Fermi level, the calculation gives 1.21 states/eV per atom.